Record 1
! Cr2WAu (PBE, relaxed); values from VASP
&SYSTEM
  ibrav = 0, nat = 4, ntyp = 3
/
ATOMIC_SPECIES
Au 196.97 Au.upf
Cr 52.00 Cr.upf
W 183.84 W.upf
ATOMIC_POSITIONS crystal
Au 0.5000 0.7500 0.7500
Cr 0.0000 0.0176 0.0476
Cr 0.0000 0.4824 0.4524
W 0.5000 0.2500 0.2500
CELL_PARAMETERS angstrom
4.0804 0.0000 0.0000
0.0000 2.6995 0.0416
0.0000 1.6964 5.4749
! Final energy   -8.475 eV/atom
! Theoretical density   13.41 g/cm³
! Volume   60.0 Å³/cell
! M_tot   0.000 μB/atom
! Offset from the most stable computed form   0.128 eV per atom
! N(E_F)   3.6 states/eV per cell

---

Record 2
! Cr2WAu (PBE, relaxed); values from VASP
&SYSTEM
  ibrav = 0, nat = 8, ntyp = 3
/
ATOMIC_SPECIES
Cr 52.00 Cr.upf
Au 196.97 Au.upf
W 183.84 W.upf
ATOMIC_POSITIONS crystal
Cr 0.6054 0.1250 0.2500
Cr 0.1446 0.6250 0.2500
Cr 0.3750 0.3946 0.7500
Cr 0.8750 0.8554 0.7500
Au 0.0000 0.0000 0.0000
Au 0.7500 0.2500 0.5000
W 0.5000 0.5000 0.0000
W 0.2500 0.7500 0.5000
CELL_PARAMETERS angstrom
-5.5369 -3.4823 -2.2150
0.7408 -4.4848 5.1988
-4.0454 -2.3886 3.1025
! Final energy   -7.973 eV/atom
! Theoretical density   12.05 g/cm³
! Volume   133.6 Å³/cell
! M_tot   1.221 μB/atom
! Offset from the most stable computed form   0.630 eV per atom
! N(E_F)   6.2 states/eV per cell

---

Record 3
! CrW2Au (PBE, relaxed); values from VASP
&SYSTEM
  ibrav = 0, nat = 4, ntyp = 3
/
ATOMIC_SPECIES
Au 196.97 Au.upf
Cr 52.00 Cr.upf
W 183.84 W.upf
ATOMIC_POSITIONS crystal
Au 0.2500 0.2500 0.2500
Cr 0.7500 0.7500 0.7500
W 0.0046 0.0046 0.0046
W 0.4954 0.4954 0.4954
CELL_PARAMETERS angstrom
-1.6991 5.6271 7.4603
-2.6561 3.2284 8.5281
0.0660 3.8408 8.6862
! Final energy   -9.203 eV/atom
! Theoretical density   16.18 g/cm³
! Volume   63.3 Å³/cell
! M_tot   0.450 μB/atom
! Offset from the most stable computed form   0.208 eV per atom
! N(E_F)   4.4 states/eV per cell

---

Record 4
! CrW2Au (PBE, relaxed); values from VASP
&SYSTEM
  ibrav = 0, nat = 4, ntyp = 3
/
ATOMIC_SPECIES
Au 196.97 Au.upf
Cr 52.00 Cr.upf
W 183.84 W.upf
ATOMIC_POSITIONS crystal
Au 0.5000 0.2500 0.2500
Cr 0.5000 0.7500 0.7500
W 0.0000 0.9584 0.9718
W 0.0000 0.5416 0.5282
CELL_PARAMETERS angstrom
4.0969 0.0000 0.0000
0.0000 2.7498 0.0066
0.0000 1.9517 5.5279
! Final energy   -9.356 eV/atom
! Theoretical density   16.46 g/cm³
! Volume   62.2 Å³/cell
! M_tot   0.000 μB/atom
! Offset from the most stable computed form   0.056 eV per atom
! N(E_F)   2.9 states/eV per cell

---

Record 5
! CrWAu2 (PBE, relaxed); values from VASP
&SYSTEM
  ibrav = 0, nat = 4, ntyp = 3
/
ATOMIC_SPECIES
Cr 52.00 Cr.upf
Au 196.97 Au.upf
W 183.84 W.upf
ATOMIC_POSITIONS crystal
Cr 0.0000 0.0000 0.0000
Au 0.2500 0.2500 0.2500
Au 0.7500 0.7500 0.7500
W 0.5000 0.5000 0.5000
CELL_PARAMETERS angstrom
0.0000 3.1832 3.1832
3.1832 0.0000 3.1832
3.1832 3.1832 0.0000
! Final energy   -6.523 eV/atom
! Theoretical density   16.21 g/cm³
! Volume   64.5 Å³/cell
! M_tot   0.000 μB/atom
! Offset from the most stable computed form   0.474 eV per atom
! N(E_F)   8.4 states/eV per cell

---

Record 6
! CrWAu2 (PBE, relaxed); values from VASP
&SYSTEM
  ibrav = 0, nat = 4, ntyp = 3
/
ATOMIC_SPECIES
Au 196.97 Au.upf
Cr 52.00 Cr.upf
W 183.84 W.upf
ATOMIC_POSITIONS crystal
Au 0.0000 0.0000 0.9885
Au 0.5000 0.5000 0.2697
Cr 0.0000 0.0000 0.5320
W 0.5000 0.5000 0.7098
CELL_PARAMETERS angstrom
3.1626 0.0000 0.0000
0.0000 3.1626 0.0000
0.0000 0.0000 6.5126
! Final energy   -6.969 eV/atom
! Theoretical density   16.05 g/cm³
! Volume   65.1 Å³/cell
! M_tot   0.137 μB/atom
! Offset from the most stable computed form   0.028 eV per atom
! N(E_F)   2.6 states/eV per cell

---

Record 7
! CrW2Au (PBE, relaxed); values from VASP
&SYSTEM
  ibrav = 0, nat = 4, ntyp = 3
/
ATOMIC_SPECIES
Au 196.97 Au.upf
Cr 52.00 Cr.upf
W 183.84 W.upf
ATOMIC_POSITIONS crystal
Au 0.5000 0.0000 0.5000
Cr 0.0000 0.5000 0.5000
W 0.0000 0.0000 0.0000
W 0.5000 0.5000 0.0000
CELL_PARAMETERS angstrom
4.8476 -0.0024 0.0000
-1.7207 4.5320 0.0000
0.0000 0.0000 2.8089
! Final energy   -9.274 eV/atom
! Theoretical density   16.60 g/cm³
! Volume   61.7 Å³/cell
! M_tot   0.000 μB/atom
! Offset from the most stable computed form   0.138 eV per atom
! N(E_F)   3.3 states/eV per cell

---

Record 8
! CrWAu2 (PBE, relaxed); values from VASP
&SYSTEM
  ibrav = 0, nat = 4, ntyp = 3
/
ATOMIC_SPECIES
Au 196.97 Au.upf
Cr 52.00 Cr.upf
W 183.84 W.upf
ATOMIC_POSITIONS crystal
Au 0.0045 0.0045 0.9886
Au 0.2431 0.2431 0.2584
Cr 0.4927 0.4927 0.5097
W 0.7597 0.7597 0.7433
CELL_PARAMETERS angstrom
-3.6874 2.7528 -1.7067
-4.0829 2.4866 1.1112
1.8506 4.5695 0.6915
! Final energy   -6.909 eV/atom
! Theoretical density   15.96 g/cm³
! Volume   65.5 Å³/cell
! M_tot   0.617 μB/atom
! Offset from the most stable computed form   0.088 eV per atom
! N(E_F)   3.0 states/eV per cell

---

Record 9
! CrWAu2 (PBE, relaxed); values from VASP
&SYSTEM
  ibrav = 0, nat = 4, ntyp = 3
/
ATOMIC_SPECIES
Au 196.97 Au.upf
Cr 52.00 Cr.upf
W 183.84 W.upf
ATOMIC_POSITIONS crystal
Au 0.0000 0.1248 0.9598
Au 0.5000 0.1252 0.2864
Cr 0.0000 0.6249 0.4780
W 0.5000 0.6251 0.7758
CELL_PARAMETERS angstrom
-3.3379 2.9718 0.8732
-1.1803 -1.8684 1.8469
2.7039 1.9492 3.7020
! Final energy   -6.877 eV/atom
! Theoretical density   16.01 g/cm³
! Volume   65.3 Å³/cell
! M_tot   0.579 μB/atom
! Offset from the most stable computed form   0.120 eV per atom
! N(E_F)   3.9 states/eV per cell

---

Record 10
! CrW2Au (PBE, relaxed); values from VASP
&SYSTEM
  ibrav = 0, nat = 4, ntyp = 3
/
ATOMIC_SPECIES
Au 196.97 Au.upf
Cr 52.00 Cr.upf
W 183.84 W.upf
ATOMIC_POSITIONS crystal
Au 0.5000 0.5000 0.2500
Cr 0.5000 0.5000 0.7500
W 0.0000 0.0000 0.9673
W 0.0000 0.0000 0.5327
CELL_PARAMETERS angstrom
3.2556 0.0000 0.0000
0.0000 3.2556 0.0000
0.0000 0.0000 5.8809
! Final energy   -9.286 eV/atom
! Theoretical density   16.43 g/cm³
! Volume   62.3 Å³/cell
! M_tot   0.000 μB/atom
! Offset from the most stable computed form   0.126 eV per atom
! N(E_F)   4.5 states/eV per cell

---

Record 11
! CrWAu2 (PBE, relaxed); values from VASP
&SYSTEM
  ibrav = 0, nat = 4, ntyp = 3
/
ATOMIC_SPECIES
Au 196.97 Au.upf
Cr 52.00 Cr.upf
W 183.84 W.upf
ATOMIC_POSITIONS crystal
Au 0.0000 0.0000 0.0000
Au 0.5000 0.5000 0.0000
Cr 0.5000 0.5000 0.5000
W 0.0000 0.0000 0.5000
CELL_PARAMETERS angstrom
2.8295 0.0000 0.0000
0.0000 4.9307 -0.0830
0.0000 3.3229 4.6644
! Final energy   -6.827 eV/atom
! Theoretical density   15.88 g/cm³
! Volume   65.9 Å³/cell
! M_tot   0.600 μB/atom
! Offset from the most stable computed form   0.170 eV per atom
! N(E_F)   2.8 states/eV per cell

---

Record 12
! CrW2Au (PBE, relaxed); values from VASP
&SYSTEM
  ibrav = 0, nat = 4, ntyp = 3
/
ATOMIC_SPECIES
Au 196.97 Au.upf
Cr 52.00 Cr.upf
W 183.84 W.upf
ATOMIC_POSITIONS crystal
Au 0.5028 0.5028 0.4936
Cr 0.2479 0.2479 0.2499
W 0.9973 0.9973 0.0081
W 0.7521 0.7521 0.7484
CELL_PARAMETERS angstrom
4.8108 -0.0020 -0.0070
4.0360 2.6180 -0.0070
0.6660 0.1969 4.9246
! Final energy   -9.257 eV/atom
! Theoretical density   16.49 g/cm³
! Volume   62.1 Å³/cell
! M_tot   0.001 μB/atom
! Offset from the most stable computed form   0.155 eV per atom
! N(E_F)   3.4 states/eV per cell